i | ScIn2W: relaxed, PBE-GGA.

The structure in POSCAR format:
```
ScIn2W
1.0
5.291 0.000 0.000
0.000 3.033 0.000
-2.014 0.000 5.068
Sc In W
1 2 1
direct
0.000 0.000 0.000 Sc
0.500 0.000 0.500 In
0.500 0.500 0.000 In
0.000 0.500 0.500 W
```

## Properties
SG = P2/m (10)

=====

ii | ScIn2W: relaxed, PBE-GGA.

The structure in POSCAR format:
```
ScIn2W
1.0
2.991 -4.402 0.000
2.991 4.402 0.000
0.000 0.000 3.007
Sc In W
1 2 1
direct
0.000 0.000 0.000 Sc
0.000 0.500 0.500 In
0.500 0.000 0.500 In
0.500 0.500 0.000 W
```

## Properties
SG = Cmmm (65)

=====

iii | ScIn2W: relaxed, PBE-GGA.

The structure in POSCAR format:
```
ScIn2W
1.0
0.000 3.409 3.409
3.409 0.000 3.409
3.409 3.409 0.000
Sc In W
1 2 1
direct
0.000 0.000 0.000 Sc
0.250 0.250 0.250 In
0.750 0.750 0.750 In
0.500 0.500 0.500 W
```

## Properties
SG = Fm-3m (225)

=====

iv | ScIn2W: relaxed, PBE-GGA.

The structure in POSCAR format:
```
ScIn2W
1.0
5.252 -1.495 0.000
5.252 1.495 0.000
-0.801 0.000 5.198
Sc In W
1 2 1
direct
0.000 0.000 0.000 Sc
0.524 0.524 0.521 In
0.759 0.759 0.262 In
0.269 0.269 0.771 W
```

## Properties
SG = Cm (8)

=====

ii is preferred energetically. Next in line: 49 meV per atom higher.

=====

i | ScInW3: relaxed, PBE-GGA.

The structure in POSCAR format:
```
ScInW3
1.0
4.681 0.000 0.000
0.000 4.681 0.000
0.000 0.000 4.681
Sc In W
1 1 3
direct
0.000 0.000 0.000 Sc
0.500 0.500 0.500 In
0.000 0.000 0.500 W
0.000 0.500 0.000 W
0.500 0.000 0.000 W
```

## Properties
SG = Pm-3m (221)

=====

ii | ScInW3: relaxed, PBE-GGA.

The structure in POSCAR format:
```
ScInW3
1.0
4.891 0.000 0.000
0.000 4.891 0.000
0.000 0.000 4.891
Sc In W
1 1 3
direct
0.000 0.000 0.000 Sc
0.500 0.500 0.500 In
0.000 0.500 0.500 W
0.500 0.000 0.500 W
0.500 0.500 0.000 W
```

## Properties
SG = Pm-3m (221)

=====

i is preferred energetically. Next in line: 190 meV per atom higher.

=====

i | ScZn2In2: relaxed, PBE-GGA.

The structure in POSCAR format:
```
ScZn2In2
1.0
7.963 0.000 0.000
0.000 7.963 0.000
0.000 0.000 3.345
Sc Zn In
2 4 4
direct
0.000 0.000 0.000 Sc
0.500 0.500 0.000 Sc
0.166 0.334 0.500 Zn
0.334 0.834 0.500 Zn
0.666 0.166 0.500 Zn
0.834 0.666 0.500 Zn
0.136 0.636 0.000 In
0.364 0.136 0.000 In
0.636 0.864 0.000 In
0.864 0.364 0.000 In
```

## Properties
SG = P4/mbm (127)

=====

ii | ScZn2In2: relaxed, PBE-GGA.

The structure in POSCAR format:
```
ScZn2In2
1.0
7.552 0.000 0.000
0.000 7.552 0.000
0.000 0.000 3.642
Sc Zn In
2 4 4
direct
0.000 0.000 0.000 Sc
0.500 0.500 0.000 Sc
0.120 0.380 0.000 Zn
0.380 0.880 0.000 Zn
0.620 0.120 0.000 Zn
0.880 0.620 0.000 Zn
0.180 0.680 0.500 In
0.320 0.180 0.500 In
0.680 0.820 0.500 In
0.820 0.320 0.500 In
```

## Properties
SG = P4/mbm (127)

=====

iii | ScZn2In2: relaxed, PBE-GGA.

The structure in POSCAR format:
```
ScZn2In2
1.0
-2.125 2.125 5.796
2.125 -2.125 5.796
2.125 2.125 -5.796
Sc Zn In
1 2 2
direct
0.000 0.000 0.000 Sc
0.400 0.400 0.000 Zn
0.600 0.600 0.000 Zn
0.250 0.750 0.500 In
0.750 0.250 0.500 In
```

## Properties
SG = I4/mmm (139)

=====

ii is preferred energetically. Next in line: 13 meV per atom higher.

=====

i | ScZn3In: relaxed, PBE-GGA.

The structure in POSCAR format:
```
ScZn3In
1.0
5.260 0.000 0.000
0.000 5.260 0.000
0.000 0.000 5.260
Sc Zn In
1 3 1
direct
0.000 0.000 0.000 Sc
0.000 0.000 0.500 Zn
0.000 0.500 0.000 Zn
0.500 0.000 0.000 Zn
0.500 0.500 0.500 In
```

## Properties
SG = Pm-3m (221)

=====

ii | ScZn3In: relaxed, PBE-GGA.

The structure in POSCAR format:
```
ScZn3In
1.0
4.988 0.000 0.000
0.000 4.988 0.000
0.000 0.000 4.988
Sc Zn In
1 3 1
direct
0.000 0.000 0.000 Sc
0.000 0.500 0.500 Zn
0.500 0.000 0.500 Zn
0.500 0.500 0.000 Zn
0.500 0.500 0.500 In
```

## Properties
SG = Pm-3m (221)

=====

ii is preferred energetically. Next in line: 122 meV per atom higher.

=====

i | ScZnIn3: relaxed, PBE-GGA.

The structure in POSCAR format:
```
ScZnIn3
1.0
5.680 0.000 0.000
0.000 5.680 0.000
0.000 0.000 5.680
Sc Zn In
1 1 3
direct
0.000 0.000 0.000 Sc
0.500 0.500 0.500 Zn
0.000 0.000 0.500 In
0.000 0.500 0.000 In
0.500 0.000 0.000 In
```

## Properties
SG = Pm-3m (221)

=====

ii | ScZnIn3: relaxed, PBE-GGA.

The structure in POSCAR format:
```
ScZnIn3
1.0
5.131 0.000 0.000
0.000 5.131 0.000
0.000 0.000 5.131
Sc Zn In
1 1 3
direct
0.000 0.000 0.000 Sc
0.500 0.500 0.500 Zn
0.000 0.500 0.500 In
0.500 0.000 0.500 In
0.500 0.500 0.000 In
```

## Properties
SG = Pm-3m (221)

=====

ii is preferred energetically. Next in line: 289 meV per atom higher.

=====

i | Sc4ZnIn2: relaxed, PBE-GGA.

The structure in POSCAR format:
```
Sc4ZnIn2
1.0
-2.497 2.497 7.281
2.497 -2.497 7.281
2.497 2.497 -7.281
Sc Zn In
4 1 2
direct
0.000 0.500 0.500 Sc
0.180 0.180 0.000 Sc
0.500 0.000 0.500 Sc
0.820 0.820 0.000 Sc
0.000 0.000 0.000 Zn
0.379 0.379 0.000 In
0.621 0.621 0.000 In
```

## Properties
SG = I4/mmm (139)

=====

ii | Sc4ZnIn2: relaxed, PBE-GGA.

The structure in POSCAR format:
```
Sc4ZnIn2
1.0
2.444 1.411 7.974
-2.444 1.411 7.974
0.000 -2.822 7.974
Sc Zn In
4 1 2
direct
0.123 0.123 0.123 Sc
0.374 0.374 0.374 Sc
0.626 0.626 0.626 Sc
0.877 0.877 0.877 Sc
0.500 0.500 0.500 Zn
0.250 0.250 0.250 In
0.750 0.750 0.750 In
```

## Properties
SG = R-3m (166)

=====

ii is preferred energetically. Next in line: 265 meV per atom higher.

=====

i | Sc4ZnIn: relaxed, PBE-GGA.

The structure in POSCAR format:
```
Sc4ZnIn
1.0
0.000 4.113 4.113
4.113 0.000 4.113
4.113 4.113 0.000
Sc Zn In
4 1 1
direct
0.125 0.125 0.125 Sc
0.125 0.125 0.624 Sc
0.125 0.624 0.125 Sc
0.624 0.125 0.125 Sc
0.750 0.750 0.750 Zn
0.500 0.500 0.500 In
```

## Properties
SG = F-43m (216)

=====

ii | Sc4ZnIn: relaxed, PBE-GGA.

The structure in POSCAR format:
```
Sc4ZnIn
1.0
2.380 1.374 7.746
-2.380 1.374 7.746
0.000 -2.749 7.746
Sc Zn In
4 1 1
direct
0.119 0.119 0.119 Sc
0.369 0.369 0.369 Sc
0.631 0.631 0.631 Sc
0.881 0.881 0.881 Sc
0.000 0.000 0.000 Zn
0.500 0.500 0.500 In
```

## Properties
SG = R-3m (166)

=====

ii is preferred energetically. Next in line: 196 meV per atom higher.

=====

i | Zr4ScIn: relaxed, PBE-GGA.

The structure in POSCAR format:
```
Zr4ScIn
1.0
0.000 4.138 4.138
4.138 0.000 4.138
4.138 4.138 0.000
Zr Sc In
4 1 1
direct
0.377 0.377 0.377 Zr
0.377 0.377 0.868 Zr
0.377 0.868 0.377 Zr
0.868 0.377 0.377 Zr
0.750 0.750 0.750 Sc
0.000 0.000 0.000 In
```

## Properties
SG = F-43m (216)

=====

ii | Zr4ScIn: relaxed, PBE-GGA.

The structure in POSCAR format:
```
Zr4ScIn
1.0
2.220 -7.117 0.000
2.220 7.117 0.000
0.000 0.000 4.361
Zr Sc In
4 1 1
direct
0.168 0.832 0.000 Zr
0.329 0.671 0.500 Zr
0.671 0.329 0.500 Zr
0.832 0.168 0.000 Zr
0.500 0.500 0.000 Sc
0.000 0.000 0.500 In
```

## Properties
SG = Cmmm (65)

=====

ii is preferred energetically. Next in line: 290 meV per atom higher.

=====

i | Zr3ScIn: relaxed, PBE-GGA.

The structure in POSCAR format:
```
Zr3ScIn
1.0
5.304 0.000 0.000
0.000 5.304 0.000
0.000 0.000 5.304
Zr Sc In
3 1 1
direct
0.000 0.000 0.500 Zr
0.000 0.500 0.000 Zr
0.500 0.000 0.000 Zr
0.500 0.500 0.500 Sc
0.000 0.000 0.000 In
```

## Properties
SG = Pm-3m (221)

=====

ii | Zr3ScIn: relaxed, PBE-GGA.

The structure in POSCAR format:
```
Zr3ScIn
1.0
2.178 -11.743 0.000
2.178 11.743 0.000
0.000 0.000 4.473
Zr Sc In
6 2 2
direct
0.049 0.951 0.750 Zr
0.146 0.854 0.250 Zr
0.350 0.650 0.250 Zr
0.650 0.350 0.750 Zr
0.854 0.146 0.750 Zr
0.951 0.049 0.250 Zr
0.252 0.748 0.750 Sc
0.748 0.252 0.250 Sc
0.449 0.551 0.750 In
0.551 0.449 0.250 In
```

## Properties
SG = Cmcm (63)

=====

iii | Zr3ScIn: relaxed, PBE-GGA.

The structure in POSCAR format:
```
Zr3ScIn
1.0
5.040 0.000 0.000
0.000 5.040 0.000
0.000 0.000 5.040
Zr Sc In
3 1 1
direct
0.000 0.000 0.500 Zr
0.000 0.500 0.000 Zr
0.500 0.000 0.000 Zr
0.000 0.000 0.000 Sc
0.500 0.500 0.500 In
```

## Properties
SG = Pm-3m (221)

=====

ii is preferred energetically. Next in line: 1051 meV per atom higher.

=====

i | Zr4ScIn2: relaxed, PBE-GGA.

The structure in POSCAR format:
```
Zr4ScIn2
1.0
-2.355 2.355 8.050
2.355 -2.355 8.050
2.355 2.355 -8.050
Zr Sc In
4 1 2
direct
0.000 0.500 0.500 Zr
0.186 0.186 0.000 Zr
0.500 0.000 0.500 Zr
0.814 0.814 0.000 Zr
0.000 0.000 0.000 Sc
0.367 0.367 0.000 In
0.633 0.633 0.000 In
```

## Properties
SG = I4/mmm (139)

=====

ii | Zr4ScIn2: relaxed, PBE-GGA.

The structure in POSCAR format:
```
Zr4ScIn2
1.0
-2.793 2.793 5.488
2.793 -2.793 5.488
2.793 2.793 -5.488
Zr Sc In
4 1 2
direct
0.000 0.500 0.500 Zr
0.250 0.750 0.500 Zr
0.500 0.000 0.500 Zr
0.750 0.250 0.500 Zr
0.000 0.000 0.000 Sc
0.363 0.363 0.000 In
0.637 0.637 0.000 In
```

## Properties
SG = I4/mmm (139)

=====

ii is preferred energetically. Next in line: 397 meV per atom higher.